(1)
This record from Alexandria via LeMat-Bulk describes a geometry-optimized LaDyCuPd structure. The functional is PBE-GGA.

Values from the calculation:
The volume comes out at 23.92 Å³ per atom. For the theoretical density, the calculation gives 8.18 g/cm³.

a = 3.870 Å, b = 4.609 Å, c = 5.702 Å
α = 90.00°, β = 109.84°, γ = 90.00°
Fractional positions:
Cu1 0.579 0.500 0.157
Pd1 0.427 0.000 0.853
Dy1 0.135 0.000 0.271
La1 0.859 0.500 0.719

(2)
This record from Alexandria via LeMat-Bulk describes a geometry-optimized LaDyCuPd structure. The functional is PBE-GGA.

Values from the calculation:
The volume comes out at 23.16 Å³ per atom. For the theoretical density, the calculation gives 8.45 g/cm³.

a = 5.079 Å, b = 5.079 Å, c = 5.079 Å
α = 60.00°, β = 60.00°, γ = 60.00°
Fractional positions:
Dy1 0.000 0.000 0.000
Pd1 0.750 0.750 0.750
La1 0.500 0.500 0.500
Cu1 0.250 0.250 0.250

Energies relative to the minimum, kJ/mol of atoms: (1) 0.0; (2) 4.1

(1)
This record from Alexandria via LeMat-Bulk describes a geometry-optimized LaDyZnCu structure. The functional is PBE-GGA.

Values from the calculation:
The volume comes out at 23.81 Å³ per atom. For the theoretical density, the calculation gives 7.50 g/cm³.

a = 5.126 Å, b = 5.126 Å, c = 5.126 Å
α = 60.00°, β = 60.00°, γ = 60.00°
Fractional positions:
Zn1 0.750 0.750 0.750
Cu1 0.250 0.250 0.250
Dy1 0.000 0.000 0.000
La1 0.500 0.500 0.500

(2)
This record from Alexandria via LeMat-Bulk describes a geometry-optimized LaDyZnCu structure. The functional is PBE-GGA.

Values from the calculation:
The volume comes out at 23.61 Å³ per atom. For the theoretical density, the calculation gives 7.57 g/cm³.

a = 3.596 Å, b = 3.596 Å, c = 7.305 Å
α = 90.00°, β = 90.00°, γ = 90.00°
Fractional positions:
La1 0.500 0.500 0.111
Zn1 0.000 0.000 0.831
Cu1 0.000 0.000 0.389
Dy1 0.500 0.500 0.597

Energies relative to the minimum, kJ/mol of atoms: (1) 2.0; (2) 0.0

(1)
This record from Alexandria via LeMat-Bulk describes a geometry-optimized Li2DyCu9 structure. The functional is PBE-GGA.

Values from the calculation:
The volume comes out at 14.08 Å³ per atom. For the theoretical density, the calculation gives 7.35 g/cm³.

a = 4.900 Å, b = 8.305 Å, c = 8.305 Å
α = 90.00°, β = 90.00°, γ = 90.00°
Fractional positions:
Cu1 0.500 0.500 0.000
Cu2 0.242 0.181 0.681
Cu3 0.242 0.819 0.319
Cu4 0.500 0.440 0.709
Cu5 0.758 0.319 0.181
Cu6 0.500 0.940 0.791
Cu7 0.242 0.681 0.819
Cu8 0.758 0.819 0.319
Cu9 0.500 0.209 0.940
Cu10 0.500 0.291 0.440
Cu11 0.500 0.000 0.500
Cu12 0.500 0.709 0.560
Cu13 0.758 0.181 0.681
Cu14 0.500 0.560 0.291
Cu15 0.242 0.319 0.181
Cu16 0.758 0.681 0.819
Cu17 0.500 0.791 0.060
Cu18 0.500 0.060 0.209
Li1 0.000 0.386 0.886
Li2 0.000 0.614 0.114
Li3 0.000 0.886 0.614
Li4 0.000 0.114 0.386
Dy1 0.000 0.500 0.500
Dy2 0.000 0.000 0.000

(2)
This record from Alexandria via LeMat-Bulk describes a geometry-optimized Li2DyCu9 structure. The functional is PBE-GGA.

Values from the calculation:
The volume comes out at 14.42 Å³ per atom. For the theoretical density, the calculation gives 7.18 g/cm³.

a = 4.958 Å, b = 4.958 Å, c = 8.618 Å
α = 73.28°, β = 73.28°, γ = 60.00°
Fractional positions:
Cu1 0.500 0.500 0.500
Cu2 0.585 0.585 0.746
Cu3 0.917 0.415 0.254
Cu4 0.667 0.667 0.998
Cu5 0.083 0.585 0.746
Cu6 0.415 0.917 0.254
Cu7 0.415 0.415 0.254
Cu8 0.333 0.333 0.002
Cu9 0.585 0.083 0.746
Li1 0.852 0.852 0.443
Li2 0.148 0.148 0.557
Dy1 0.000 0.000 0.000

Energies relative to the minimum, kJ/mol of atoms: (1) 0.6; (2) 0.0

(1)
This record from Alexandria via LeMat-Bulk describes a geometry-optimized DyLu2Cu structure. The functional is PBE-GGA.

Values from the calculation:
The volume comes out at 25.08 Å³ per atom. For the theoretical density, the calculation gives 9.53 g/cm³.

a = 3.415 Å, b = 3.415 Å, c = 8.604 Å
α = 90.00°, β = 90.00°, γ = 90.00°
Fractional positions:
Dy1 0.500 0.500 0.500
Lu1 0.000 0.000 0.804
Lu2 0.000 0.000 0.196
Cu1 0.500 0.500 0.000

(2)
This record from Alexandria via LeMat-Bulk describes a geometry-optimized DyLu2Cu structure. The functional is PBE-GGA.

Values from the calculation:
The volume comes out at 26.28 Å³ per atom. For the theoretical density, the calculation gives 9.10 g/cm³.

a = 3.545 Å, b = 3.545 Å, c = 9.872 Å
α = 79.66°, β = 79.66°, γ = 60.00°
Fractional positions:
Dy1 0.500 0.500 0.500
Cu1 0.000 0.000 0.000
Lu1 0.734 0.734 0.798
Lu2 0.266 0.266 0.202

Energies relative to the minimum, kJ/mol of atoms: (1) 0.0; (2) 13.0